Compound: Na2CuAg2
Source: Alexandria via LeMat-Bulk
Functional: PBEsol
Structure: relaxed

The calculation puts the density of states at the Fermi level at 1.53 states/eV/cell. The value obtained for the total magnetization is 0.00 μB/f.u. As for the energy of formation: 0.72 eV/atom.

The structure belongs to space group P4/mmm (No. 123); the cell edges are 5.2987, 5.2987 and 5.0594 Å and the angles 90.00°, 90.00° and 90.00°. The asymmetric unit holds Na at (0.0000, 0.5000, 0.0000), Cu at (0.0000, 0.0000, 0.5000), Ag at (0.5000, 0.5000, 0.0000) and Ag at (0.5000, 0.5000, 0.5000).